Computed, not measured: a geometry-optimized HfMg2Ag2 structure at the PBE-GGA level of DFT.

- Formation enthalpy at 0 K: 0.0040 eV/atom
- Space group: No. 127
- Energy relative to the lowest polymorph listed for this composition: 0 meV per atom
- Crystal system: tetragonal
- D(E_F): 8.234 states/eV/cell

```
HfMg2Ag2
1.0
8.035 0.000 0.000
0.000 8.035 0.000
0.000 0.000 3.029
Hf Mg Ag
2 4 4
Direct
0.000 0.000 0.000
0.500 0.500 0.000
0.162 0.338 0.500
0.338 0.838 0.500
0.662 0.162 0.500
0.838 0.662 0.500
0.135 0.635 0.000
0.365 0.135 0.000
0.635 0.865 0.000
0.865 0.365 0.000
```